Model one:
{
  "formula": "ZrCoW2",
  "functional": "PBEsol",
  "state": "optimized geometry",
  "spacegroup": "No. 166",
  "dos_at_fermi_per_ev_atom": 1.16,
  "lattice_angstrom": [[1.3824, 0.7981, 9.4491], [-1.3824, 0.7981, 9.4491], [0.0000, -1.5963, 9.4491]],
  "species": ["Zr", "Co", "W", "W"],
  "frac_coords": [[0.0000, 0.0000, 0.0000], [0.5000, 0.5000, 0.5000], [0.2391, 0.2391, 0.2391], [0.7609, 0.7609, 0.7609]]
}

Model two:
{
  "formula": "ZrCoW2",
  "functional": "PBEsol",
  "state": "optimized geometry",
  "spacegroup": "No. 8",
  "dos_at_fermi_per_ev_atom": 0.87,
  "lattice_angstrom": [[4.6966, -1.3538, 0.0000], [4.6966, 1.3538, 0.0000], [-1.1986, 0.0000, 4.9592]],
  "species": ["Zr", "Co", "W", "W"],
  "frac_coords": [[0.0000, 0.0000, 0.0000], [0.2544, 0.2544, 0.8634], [0.5657, 0.5657, 0.5339], [0.7951, 0.7951, 0.3391]]
}

model two (9.2 kJ/mol of atoms below the next structure)

Model one:
{
  "formula": "LaCrCu2",
  "functional": "PBEsol",
  "state": "optimized geometry",
  "spacegroup": "No. 123",
  "dos_at_fermi_per_ev_atom": 0.61,
  "lattice_angstrom": [[4.4863, 0.0000, 0.0000], [0.0000, 4.4863, 0.0000], [0.0000, 0.0000, 3.5496]],
  "species": ["La", "Cr", "Cu", "Cu"],
  "frac_coords": [[0.0000, 0.0000, 0.0000], [0.5000, 0.5000, 0.0000], [0.0000, 0.5000, 0.5000], [0.5000, 0.0000, 0.5000]]
}

Model two:
{
  "formula": "LaCrCu2",
  "functional": "PBEsol",
  "state": "optimized geometry",
  "spacegroup": "No. 119",
  "dos_at_fermi_per_ev_atom": 0.36,
  "lattice_angstrom": [[-2.0972, 2.0972, 3.9270], [2.0972, -2.0972, 3.9270], [2.0972, 2.0972, -3.9270]],
  "species": ["La", "Cr", "Cu", "Cu"],
  "frac_coords": [[0.0000, 0.0000, 0.0000], [0.7500, 0.2500, 0.5000], [0.2500, 0.7500, 0.5000], [0.5000, 0.5000, 0.0000]]
}

model two (2.4 kJ/mol of atoms below the next structure)

Model one:
{
  "formula": "LiCr2Cu",
  "functional": "PBEsol",
  "state": "optimized geometry",
  "spacegroup": "No. 47",
  "dos_at_fermi_per_ev_atom": 0.94,
  "lattice_angstrom": [[2.3000, 0.0000, 0.0000], [0.0000, 4.2322, 0.0000], [0.0000, 0.0000, 4.5956]],
  "species": ["Li", "Cr", "Cr", "Cu"],
  "frac_coords": [[0.0000, 0.0000, 0.0000], [0.5000, 0.5000, 0.2515], [0.5000, 0.5000, 0.7485], [0.0000, 0.0000, 0.5000]]
}

Model two:
{
  "formula": "LiCr2Cu",
  "functional": "PBEsol",
  "state": "optimized geometry",
  "spacegroup": "No. 6",
  "dos_at_fermi_per_ev_atom": 0.69,
  "lattice_angstrom": [[2.3196, 0.0000, 0.0000], [0.0000, 3.9076, 0.0000], [-0.7048, 0.0000, 4.9836]],
  "species": ["Li", "Cr", "Cr", "Cu"],
  "frac_coords": [[0.0000, 0.0000, 0.0000], [0.5627, 0.0000, 0.4913], [0.7819, 0.5000, 0.2747], [0.2379, 0.5000, 0.7699]]
}

Model three:
{
  "formula": "LiCr2Cu",
  "functional": "PBEsol",
  "state": "optimized geometry",
  "spacegroup": "No. 139",
  "dos_at_fermi_per_ev_atom": 0.85,
  "lattice_angstrom": [[-1.6273, 1.6273, 4.1703], [1.6273, -1.6273, 4.1703], [1.6273, 1.6273, -4.1703]],
  "species": ["Li", "Cr", "Cr", "Cu"],
  "frac_coords": [[0.0000, 0.0000, 0.0000], [0.2500, 0.7500, 0.5000], [0.7500, 0.2500, 0.5000], [0.5000, 0.5000, 0.0000]]
}

model two (5.5 kJ/mol of atoms below the next structure)

Model one:
{
  "formula": "Cr2CuRe",
  "functional": "PBEsol",
  "state": "optimized geometry",
  "spacegroup": "No. 6",
  "dos_at_fermi_per_ev_atom": 0.70,
  "lattice_angstrom": [[2.4996, 0.0000, 0.0000], [0.0000, 4.0660, 0.0000], [-0.9692, 0.0000, 4.8101]],
  "species": ["Cr", "Cr", "Cu", "Re"],
  "frac_coords": [[0.0000, 0.0000, 0.0000], [0.2195, 0.5000, 0.7736], [0.8250, 0.5000, 0.2542], [0.4810, 0.0000, 0.5062]]
}

Model two:
{
  "formula": "Cr2CuRe",
  "functional": "PBEsol",
  "state": "optimized geometry",
  "spacegroup": "No. 12",
  "dos_at_fermi_per_ev_atom": 0.57,
  "lattice_angstrom": [[2.5214, -4.1575, 0.0000], [2.5214, 4.1575, 0.0000], [-0.8508, 0.0000, 2.3408]],
  "species": ["Cr", "Cr", "Cu", "Re"],
  "frac_coords": [[0.0000, 0.5000, 0.0000], [0.5000, 0.0000, 0.0000], [0.0000, 0.0000, 0.5000], [0.5000, 0.5000, 0.5000]]
}

model one (2.6 kJ/mol of atoms below the next structure)

Model one:
{
  "formula": "CrCu2Re",
  "functional": "PBEsol",
  "state": "optimized geometry",
  "spacegroup": "No. 123",
  "dos_at_fermi_per_ev_atom": 0.57,
  "lattice_angstrom": [[3.4687, 0.0000, 0.0000], [0.0000, 3.4687, 0.0000], [0.0000, 0.0000, 4.0204]],
  "species": ["Cr", "Cu", "Cu", "Re"],
  "frac_coords": [[0.0000, 0.0000, 0.0000], [0.0000, 0.5000, 0.5000], [0.5000, 0.0000, 0.5000], [0.5000, 0.5000, 0.0000]]
}

Model two:
{
  "formula": "CrCu2Re",
  "functional": "PBEsol",
  "state": "optimized geometry",
  "spacegroup": "No. 225",
  "dos_at_fermi_per_ev_atom": 0.90,
  "lattice_angstrom": [[0.0000, 2.9295, 2.9295], [2.9295, 0.0000, 2.9295], [2.9295, 2.9295, 0.0000]],
  "species": ["Cr", "Cu", "Cu", "Re"],
  "frac_coords": [[0.0000, 0.0000, 0.0000], [0.2500, 0.2500, 0.2500], [0.7500, 0.7500, 0.7500], [0.5000, 0.5000, 0.5000]]
}

Model three:
{
  "formula": "CrCu2Re",
  "functional": "PBEsol",
  "state": "optimized geometry",
  "spacegroup": "No. 119",
  "dos_at_fermi_per_ev_atom": 0.73,
  "lattice_angstrom": [[-1.8347, 1.8347, 3.6067], [1.8347, -1.8347, 3.6067], [1.8347, 1.8347, -3.6067]],
  "species": ["Cr", "Cu", "Cu", "Re"],
  "frac_coords": [[0.0000, 0.0000, 0.0000], [0.2500, 0.7500, 0.5000], [0.5000, 0.5000, 0.0000], [0.7500, 0.2500, 0.5000]]
}

Model four:
{
  "formula": "CrCu2Re",
  "functional": "PBEsol",
  "state": "optimized geometry",
  "spacegroup": "No. 123",
  "dos_at_fermi_per_ev_atom": 0.94,
  "lattice_angstrom": [[4.4065, 0.0000, 0.0000], [0.0000, 4.4065, 0.0000], [0.0000, 0.0000, 2.5431]],
  "species": ["Cr", "Cu", "Cu", "Re"],
  "frac_coords": [[0.0000, 0.0000, 0.0000], [0.0000, 0.5000, 0.5000], [0.5000, 0.0000, 0.5000], [0.5000, 0.5000, 0.0000]]
}

model one (2.5 kJ/mol of atoms below the next structure)

Model one:
{
  "formula": "ScCr2Cu",
  "functional": "PBEsol",
  "state": "optimized geometry",
  "spacegroup": "No. 47",
  "dos_at_fermi_per_ev_atom": 0.85,
  "lattice_angstrom": [[3.1392, 0.0000, 0.0000], [0.0000, 4.1201, 0.0000], [0.0000, 0.0000, 4.3542]],
  "species": ["Sc", "Cr", "Cr", "Cu"],
  "frac_coords": [[0.0000, 0.0000, 0.0000], [0.0000, 0.5000, 0.5000], [0.5000, 0.0000, 0.5000], [0.5000, 0.5000, 0.0000]]
}

Model two:
{
  "formula": "ScCr2Cu",
  "functional": "PBEsol",
  "state": "optimized geometry",
  "spacegroup": "No. 10",
  "dos_at_fermi_per_ev_atom": 1.10,
  "lattice_angstrom": [[2.6514, 0.0000, 0.0000], [0.0000, 4.5277, 0.0000], [-0.5848, 0.0000, 4.5158]],
  "species": ["Sc", "Cr", "Cr", "Cu"],
  "frac_coords": [[0.0000, 0.0000, 0.0000], [0.3299, 0.5000, 0.7628], [0.6701, 0.5000, 0.2372], [0.5000, 0.0000, 0.5000]]
}

model one (12.0 kJ/mol of atoms below the next structure)

Model one:
{
  "formula": "Sr2CrCu",
  "functional": "PBEsol",
  "state": "optimized geometry",
  "spacegroup": "No. 44",
  "dos_at_fermi_per_ev_atom": 0.68,
  "lattice_angstrom": [[-1.9053, 2.6036, 5.5664], [1.9053, -2.6036, 5.5664], [1.9053, 2.6036, -5.5664]],
  "species": ["Sr", "Sr", "Cr", "Cu"],
  "frac_coords": [[0.0000, 0.0000, 0.0000], [0.7070, 0.2070, 0.5000], [0.3017, 0.8017, 0.5000], [0.4476, 0.4476, 0.0000]]
}

Model two:
{
  "formula": "Sr2CrCu",
  "functional": "PBEsol",
  "state": "optimized geometry",
  "spacegroup": "No. 123",
  "dos_at_fermi_per_ev_atom": 0.88,
  "lattice_angstrom": [[3.7750, 0.0000, 0.0000], [0.0000, 3.7750, 0.0000], [0.0000, 0.0000, 7.7814]],
  "species": ["Sr", "Sr", "Cr", "Cu"],
  "frac_coords": [[0.0000, 0.0000, 0.2312], [0.0000, 0.0000, 0.7688], [0.5000, 0.5000, 0.5000], [0.5000, 0.5000, 0.0000]]
}

model one (4.2 kJ/mol of atoms below the next structure)

Model one:
{
  "formula": "TaCrCu",
  "functional": "PBEsol",
  "state": "optimized geometry",
  "spacegroup": "No. 216",
  "dos_at_fermi_per_ev_atom": 0.81,
  "lattice_angstrom": [[0.0000, 2.8619, 2.8619], [2.8619, 0.0000, 2.8619], [2.8619, 2.8619, 0.0000]],
  "species": ["Ta", "Cr", "Cu"],
  "frac_coords": [[0.0000, 0.0000, 0.0000], [0.5000, 0.5000, 0.5000], [0.7500, 0.7500, 0.7500]]
}

Model two:
{
  "formula": "TaCrCu",
  "functional": "PBEsol",
  "state": "optimized geometry",
  "spacegroup": "No. 216",
  "dos_at_fermi_per_ev_atom": 1.65,
  "lattice_angstrom": [[0.0000, 2.9303, 2.9303], [2.9303, 0.0000, 2.9303], [2.9303, 2.9303, 0.0000]],
  "species": ["Ta", "Cr", "Cu"],
  "frac_coords": [[0.0000, 0.0000, 0.0000], [0.7500, 0.7500, 0.7500], [0.2500, 0.2500, 0.2500]]
}

Model three:
{
  "formula": "TaCrCu",
  "functional": "PBEsol",
  "state": "optimized geometry",
  "spacegroup": "No. 42",
  "dos_at_fermi_per_ev_atom": 0.82,
  "lattice_angstrom": [[0.0000, 2.0597, 6.1681], [1.6042, 0.0000, 6.1681], [1.6042, 2.0597, 0.0000]],
  "species": ["Ta", "Cr", "Cu"],
  "frac_coords": [[0.0000, 0.0000, 0.0000], [0.3281, 0.3281, 0.6719], [0.6745, 0.6745, 0.3255]]
}

model three (55.4 kJ/mol of atoms below the next structure)